[1]
## Ac2PmPb (PBE-GGA)

Data for a geometry-optimized Ac2PmPb structure.

Results
- Magnetization: 0.0 μB per formula unit
- Total energy: -17.0 eV/cell
- Calculated formation energy: -0.089 eV/atom
- Energy relative to the lowest polymorph listed for this composition: 169 meV/atom

POSCAR file:
```
Ac2PmPb
1.0
0.0000 4.2103 4.2103
4.2103 0.0000 4.2103
4.2103 4.2103 0.0000
Ac Pm Pb
2 1 1
direct
0.2500 0.2500 0.2500
0.7500 0.7500 0.7500
0.0000 0.0000 0.0000
0.5000 0.5000 0.5000
```



[2]
## K2BeAl (PBE-GGA)

Data for a geometry-optimized K2BeAl structure.

Results
- Magnetization: 0.0 μB per formula unit
- Total energy: -6.2 eV/cell
- Calculated formation energy: 0.862 eV/atom
- Energy relative to the lowest polymorph listed for this composition: 464 meV/atom

POSCAR file:
```
K2BeAl
1.0
3.4498 -5.5325 0.0000
3.4498 5.5325 0.0000
0.0000 0.0000 3.1962
K Be Al
2 1 1
direct
0.0000 0.5000 0.0000
0.5000 0.0000 0.0000
0.0000 0.0000 0.5000
0.5000 0.5000 0.5000
```



[3]
## AcMg2Ga (PBE-GGA)

Data for a geometry-optimized AcMg2Ga structure.

Results
- Magnetization: 0.0 μB per formula unit
- Total energy: -10.5 eV/cell
- Calculated formation energy: -0.047 eV/atom
- Energy relative to the lowest polymorph listed for this composition: 216 meV/atom

POSCAR file:
```
AcMg2Ga
1.0
0.0000 3.7341 3.7341
3.7341 0.0000 3.7341
3.7341 3.7341 0.0000
Ac Mg Ga
1 2 1
direct
0.0000 0.0000 0.0000
0.2500 0.2500 0.2500
0.7500 0.7500 0.7500
0.5000 0.5000 0.5000
```